The following is a DFT calculation (PBE) of a relaxed CdRhO crystal.

Cell and atoms, written as extended XYZ:
```
12
Lattice="5.8730 0.0000 0.0000 0.0000 5.7553 0.0000 -2.4102 0.0000 5.3937" Properties=species:S:1:pos:R:3 pbc="T T T"
Cd -0.0483 0.0000 0.7165
Cd -1.1832 5.3340 3.4288
Cd 4.6461 2.4563 1.9649
Cd 3.5112 2.8776 4.6772
Rh 0.2663 1.7133 4.2626
Rh 1.5638 2.2196 1.5647
Rh 1.8990 5.0972 3.8291
Rh 3.1965 4.5909 1.1311
O 1.3761 4.2999 1.9273
O 0.6334 3.7940 4.6510
O 2.8295 0.9163 0.7427
O 2.0868 1.4223 3.4664
```

**Formation energy from raw total energies**: -23.8 kJ per mole of atoms
**D(E_F)**: 1.11 states/eV/f.u.
**Final energy**: -4.66 eV per atom
**Crystal system**: monoclinic
**SG**: P2_1

---

The following is a DFT calculation (PBE) of a relaxed RbPb3Se crystal.

Cell and atoms, written as extended XYZ:
```
5
Lattice="6.2093 0.0000 0.0000 0.0000 6.2093 0.0000 0.0000 0.0000 6.2093" Properties=species:S:1:pos:R:3 pbc="T T T"
Rb 0.0000 0.0000 0.0000
Pb 0.0000 0.0000 3.1047
Pb 0.0000 3.1047 0.0000
Pb 3.1047 0.0000 0.0000
Se 3.1047 3.1047 3.1047
```

**Formation energy from raw total energies**: 121.7 kJ per mole of atoms
**D(E_F)**: 14.69 states/eV/f.u.
**Final energy**: -1.85 eV per atom
**Crystal system**: cubic
**SG**: Pm-3m

---

The following is a DFT calculation (PBE) of a relaxed Rb2MgAg crystal.

Cell and atoms, written as extended XYZ:
```
16
Lattice="8.9323 0.0000 0.0000 0.0000 8.9323 0.0000 0.0000 0.0000 8.9323" Properties=species:S:1:pos:R:3 pbc="T T T"
Rb 2.2331 2.2331 2.2331
Rb 2.2331 2.2331 6.6993
Rb 2.2331 6.6993 2.2331
Rb 2.2331 6.6993 6.6993
Rb 6.6993 2.2331 2.2331
Rb 6.6993 2.2331 6.6993
Rb 6.6993 6.6993 2.2331
Rb 6.6993 6.6993 6.6993
Mg 0.0000 0.0000 0.0000
Mg 0.0000 4.4662 4.4662
Mg 4.4662 0.0000 4.4662
Mg 4.4662 4.4662 0.0000
Ag 0.0000 0.0000 4.4662
Ag 0.0000 4.4662 0.0000
Ag 4.4662 0.0000 0.0000
Ag 4.4662 4.4662 4.4662
```

**Formation enthalpy at 0 K**: 0.233 eV per atom
**D(E_F)**: 1.99 states/eV/f.u.
**Final energy**: -1.36 eV per atom
**Crystal system**: cubic
**SG**: Fm-3m

---

The following is a DFT calculation (PBE) of a relaxed InHgBr crystal.

Cell and atoms, written as extended XYZ:
```
12
Lattice="10.4554 0.0000 0.0000 0.0000 6.4894 0.0000 0.0000 0.0000 6.4901" Properties=species:S:1:pos:R:3 pbc="T T T"
In 1.7000 1.6223 0.0000
In 1.7000 4.8670 3.2451
In 8.7553 1.6223 3.2451
In 8.7553 4.8670 0.0000
Hg 4.9212 1.6223 0.0078
Hg 4.9212 4.8670 3.2528
Hg 5.5342 1.6223 3.2528
Hg 5.5342 4.8670 0.0078
Br 1.4494 1.6223 3.2417
Br 1.4494 4.8670 6.4868
Br 9.0060 1.6223 6.4868
Br 9.0060 4.8670 3.2417
```

**Formation energy from raw total energies**: -40.5 kJ per mole of atoms
**D(E_F)**: 0.00 states/eV/f.u.
**Final energy**: -1.99 eV per atom
**Crystal system**: orthorhombic
**SG**: Aem2